The following is a DFT calculation (PBE-GGA) of crystalline TiBe2Ni at its relaxed geometry.

Properties
symmetry = P4/mmm
raw total energy = -5.5453 eV/atom
energy relative to the elements = -263 meV/atom

Cell lengths 2.7085, 2.7085, 5.8813 Å; angles 90.00, 90.00, 90.00 degrees
Sites, in units of the cell vectors:
Ti1 0.0000 0.0000 0.0000
Be1 0.5000 0.5000 0.3003
Be2 0.5000 0.5000 0.6997
Ni1 0.0000 0.0000 0.5000

---

The following is a DFT calculation (PBE-GGA) of crystalline HfZrCu6 at its relaxed geometry.

Properties
symmetry = R-3
raw total energy = -5.4804 eV/atom
energy relative to the elements = -96 meV/atom

Cell lengths 4.9501, 4.9501, 4.9501 Å; angles 98.48, 98.48, 98.48 degrees
Sites, in units of the cell vectors:
Hf1 0.0000 0.0000 0.0000
Zr1 0.5000 0.5000 0.5000
Cu1 0.0435 0.7522 0.4550
Cu2 0.2478 0.5450 0.9565
Cu3 0.4550 0.0435 0.7522
Cu4 0.5450 0.9565 0.2478
Cu5 0.7522 0.4550 0.0435
Cu6 0.9565 0.2478 0.5450

---

The following is a DFT calculation (PBE-GGA) of crystalline NaReNi at its relaxed geometry.

Properties
polymorph energy (0 for the lowest one) = 72 meV/atom
symmetry = P2_1/m
raw total energy = -6.1992 eV/atom
energy relative to the elements = 317 meV/atom

Cell lengths 2.6684, 3.7672, 10.9786 Å; angles 90.00, 90.13, 90.00 degrees
Sites, in units of the cell vectors:
Na1 0.2294 0.2500 0.3577
Na2 0.7706 0.7500 0.6423
Re1 0.2014 0.2500 0.0679
Re2 0.7986 0.7500 0.9321
Ni1 0.2790 0.2500 0.8292
Ni2 0.7210 0.7500 0.1708

---

The following is a DFT calculation (PBE-GGA) of crystalline GaMo3H at its relaxed geometry.

Properties
polymorph energy (0 for the lowest one) = 0 meV/atom
symmetry = Pm-3m
raw total energy = -7.6818 eV/atom

Cell lengths 4.0130, 4.0130, 4.0130 Å; angles 90.00, 90.00, 90.00 degrees
Sites, in units of the cell vectors:
Ga1 0.0000 0.0000 0.0000
Mo1 0.0000 0.5000 0.5000
Mo2 0.5000 0.0000 0.5000
Mo3 0.5000 0.5000 0.0000
H1 0.5000 0.5000 0.5000

---

The following is a DFT calculation (PBE-GGA) of crystalline Pm8Ho2Cd at its relaxed geometry.

Properties
polymorph energy (0 for the lowest one) = 0 meV/atom
symmetry = C2/m
raw total energy = -4.3900 eV/atom
energy relative to the elements = -20 meV/atom

Cell lengths 9.4604, 9.4604, 8.0190 Å; angles 104.93, 104.93, 31.07 degrees
Sites, in units of the cell vectors:
Pm1 0.0456 0.0456 0.2238
Pm2 0.1361 0.1361 0.6803
Pm3 0.3193 0.3193 0.5898
Pm4 0.4095 0.4095 0.0548
Pm5 0.5905 0.5905 0.9452
Pm6 0.6807 0.6807 0.4102
Pm7 0.8639 0.8639 0.3197
Pm8 0.9544 0.9544 0.7762
Ho1 0.2247 0.2247 0.1341
Ho2 0.7753 0.7753 0.8659
Cd1 0.5000 0.5000 0.5000

---

The following is a DFT calculation (PBE-GGA) of crystalline HfZr3Sb at its relaxed geometry.

Properties
polymorph energy (0 for the lowest one) = 1191 meV/atom
symmetry = Pm-3m
ΔE_f (raw) = 0.90 eV per atom
raw total energy = -7.0416 eV/atom

Cell lengths 5.1479, 5.1479, 5.1479 Å; angles 90.00, 90.00, 90.00 degrees
Sites, in units of the cell vectors:
Hf1 0.0000 0.0000 0.0000
Zr1 0.0000 0.0000 0.5000
Zr2 0.0000 0.5000 0.0000
Zr3 0.5000 0.0000 0.0000
Sb1 0.5000 0.5000 0.5000

---

Values of total moment, in order: 0.319 0.000 0.000 0.000 0.000 0.728, all in μB/cell.
Values of mass density, in order: 4.79 9.25 8.06 9.21 7.46 6.99, all in g/cm³.